Record 1
VASP calculation (PBEsol) on La2ZnGa2S6O after structural relaxation.

```
24
Lattice="9.286 0.000 0.000 0.000 9.286 0.000 0.000 0.000 6.018" Properties=species:S:1:pos:R:3 pbc="T T T"
La 1.442 3.201 0.046
La 3.201 7.844 5.973
La 6.085 1.442 5.973
La 7.844 6.085 0.046
Zn 0.000 0.000 3.009
Zn 4.643 4.643 3.009
Ga 1.198 5.841 2.478
Ga 3.445 1.198 3.541
Ga 5.841 8.088 3.541
Ga 8.088 3.445 2.478
S 0.598 7.740 1.433
S 1.228 5.871 4.699
S 1.546 0.598 4.585
S 3.097 5.241 1.433
S 3.415 1.228 1.319
S 4.045 3.097 4.585
S 5.241 6.189 4.585
S 5.871 8.058 1.319
S 6.189 4.045 1.433
S 7.740 8.688 4.585
S 8.058 3.415 4.699
S 8.688 1.546 1.433
O 0.000 4.643 1.576
O 4.643 0.000 4.442
```

## Properties
* energy: -138.40 eV per cell
* space group: P-42_1m


Record 2
VASP calculation (PBEsol) on La5Pb3 after structural relaxation.

```
16
Lattice="9.496 0.000 0.000 -4.748 8.224 0.000 0.000 0.000 6.869" Properties=species:S:1:pos:R:3 pbc="T T T"
La -1.158 2.006 1.717
La -3.590 6.218 5.152
La 2.316 0.000 1.717
La 1.158 2.006 5.152
La 0.000 5.483 0.000
La 0.000 5.483 3.434
La 4.748 2.741 0.000
La 4.748 2.741 3.434
La 7.180 0.000 5.152
La 3.590 6.218 1.717
Pb -1.861 3.223 5.152
Pb -2.888 5.001 1.717
Pb 3.721 0.000 5.152
Pb 1.861 3.223 1.717
Pb 5.775 0.000 1.717
Pb 2.888 5.001 5.152
```

## Properties
* space group: P6_3/mcm
* energy relative to the elements: -0.557 eV per atom


Record 3
VASP calculation (PBEsol) on BeSbAsBr2 after structural relaxation.

```
5
Lattice="4.558 0.000 0.000 0.000 4.558 0.000 0.000 0.000 5.022" Properties=species:S:1:pos:R:3 pbc="T T T"
Be 0.000 0.000 0.000
Sb 2.279 2.279 2.511
As 0.000 0.000 2.511
Br 0.000 2.279 0.000
Br 2.279 0.000 0.000
```

## Properties
* energy: -16.86 eV per cell
* space group: P4/mmm